[1]
Density functional theory data (GGA-PBE) for an optimized crystal structure of HgGeBi.

Results
Calculated formation energy = 0.157 eV per atom
Offset from the most stable computed form = 33.2 meV/atom
Space-group type = P2_1/m, No. 11
Total moment = 0.00 μB per cell

a b c (Å): 3.541 4.793 10.108
angles (deg): 90.00 98.91 90.00
Fractional positions:
Bi (0.170, 0.750, 0.810)
Bi (0.830, 0.250, 0.190)
Hg (0.730, 0.250, 0.576)
Hg (0.270, 0.750, 0.424)
Ge (0.697, 0.250, 0.901)
Ge (0.303, 0.750, 0.099)


[2]
Density functional theory data (GGA-PBE) for an optimized crystal structure of PmSm2IrO8.

Results
Formation energy (no corrections) = -2.268 eV per atom
Space-group type = P2/m, No. 10
Total moment = 1.81 μB per cell

a b c (Å): 5.155 5.151 6.963
angles (deg): 90.00 90.00 90.06
Last column: magnetic moment on the atom in μB.
Fractional positions:
O (0.180, 0.818, 0.795)  0.11
O (0.820, 0.182, 0.795)  0.11
O (0.180, 0.818, 0.205)  0.11
O (0.312, 0.309, 0.500)  0.01
O (0.820, 0.182, 0.205)  0.11
O (0.262, 0.260, 0.000)  0.08
O (0.688, 0.691, 0.500)  0.01
O (0.738, 0.740, 0.000)  0.08
Pm (0.000, 0.000, 0.500)  0.02
Sm (0.500, 0.500, 0.249)  0.02
Sm (0.500, 0.500, 0.751)  0.02
Ir (0.000, 0.000, 0.000)  0.90


[3]
Density functional theory data (GGA-PBE) for an optimized crystal structure of AsRuCl2.

Results
Offset from the most stable computed form = 0.0 meV/atom
Formation energy (no corrections) = -0.325 eV per atom
Space-group type = Cm, No. 8
Total moment = 0.00 μB per cell

a b c (Å): 3.778 3.778 8.454
angles (deg): 94.33 94.33 51.01
Fractional positions:
Cl (0.110, 0.110, 0.066)
Cl (0.786, 0.786, 0.646)
As (0.144, 0.144, 0.324)
Ru (0.460, 0.460, 0.465)


Question: The highest total moment belongs to which entry?
Answer: PmSm2IrO8


Question: Which value of total moment does entry 1 give?
Answer: 0.00 μB per cell


Question: Look up the total moment of the second one.
Answer: 1.81 μB per cell